*w*
# PBE-GGA LiTePbN2, relaxed
# - Fermi-level density of states: 0.293 states/eV/atom
# - Total magnetic moment: 3.24 Bohr magnetons per cell
data_LiTePbN2
_cell_length_a 4.481
_cell_length_b 4.481
_cell_length_c 6.155
_cell_angle_alpha 90.00
_cell_angle_beta 90.00
_cell_angle_gamma 90.00
_space_group_name_H-M_alt 'P 1'
_space_group_IT_number 1
loop_
_space_group_symop_operation_xyz
'x,y,z'
loop_
_atom_site_label
_atom_site_fract_x
_atom_site_fract_y
_atom_site_fract_z
Te1 0.000 0.000 0.500
Li1 0.500 0.500 0.500
N1 0.500 0.000 0.000
Pb1 0.000 0.000 0.000
N2 0.000 0.500 0.000

---

*x*
# PBE-GGA LiTePbN2, relaxed
# - Fermi-level density of states: 0.494 states/eV/atom
# - Total magnetic moment: 4.87 Bohr magnetons per cell
data_LiTePbN2
_cell_length_a 4.488
_cell_length_b 4.488
_cell_length_c 5.433
_cell_angle_alpha 90.00
_cell_angle_beta 90.00
_cell_angle_gamma 90.00
_space_group_name_H-M_alt 'P 1'
_space_group_IT_number 1
loop_
_space_group_symop_operation_xyz
'x,y,z'
loop_
_atom_site_label
_atom_site_fract_x
_atom_site_fract_y
_atom_site_fract_z
N1 0.500 0.000 0.000
Te1 0.000 0.000 0.500
Li1 0.000 0.000 0.000
Pb1 0.500 0.500 0.500
N2 0.000 0.500 0.000

---

Stability check: which of them is least stable? *x*.

---

*w*
# PBE-GGA LiPdN2, relaxed
# - Fermi-level density of states: 1.162 states/eV/atom
# - Total magnetic moment: 0.00 Bohr magnetons per cell
data_LiPdN2
_cell_length_a 6.157
_cell_length_b 6.157
_cell_length_c 6.157
_cell_angle_alpha 29.34
_cell_angle_beta 29.34
_cell_angle_gamma 29.34
_space_group_name_H-M_alt 'P 1'
_space_group_IT_number 1
loop_
_space_group_symop_operation_xyz
'x,y,z'
loop_
_atom_site_label
_atom_site_fract_x
_atom_site_fract_y
_atom_site_fract_z
N1 0.107 0.107 0.107
Li1 0.000 0.000 0.000
Pd1 0.500 0.500 0.500
N2 0.893 0.893 0.893

---

*x*
# PBE-GGA LiPdN2, relaxed
# - Fermi-level density of states: 0.455 states/eV/atom
# - Total magnetic moment: 0.00 Bohr magnetons per cell
data_LiPdN2
_cell_length_a 4.745
_cell_length_b 4.745
_cell_length_c 5.573
_cell_angle_alpha 64.80
_cell_angle_beta 64.80
_cell_angle_gamma 90.00
_space_group_name_H-M_alt 'P 1'
_space_group_IT_number 1
loop_
_space_group_symop_operation_xyz
'x,y,z'
loop_
_atom_site_label
_atom_site_fract_x
_atom_site_fract_y
_atom_site_fract_z
N1 0.101 0.625 0.250
Li1 0.500 0.500 0.000
N2 0.649 0.125 0.250
N3 0.875 0.899 0.750
Li2 0.250 0.750 0.500
Pd1 0.000 0.000 0.000
Pd2 0.750 0.250 0.500
N4 0.375 0.351 0.750

---

*y*
# PBE-GGA LiPdN2, relaxed
# - Fermi-level density of states: 0.251 states/eV/atom
# - Total magnetic moment: 0.00 Bohr magnetons per cell
data_LiPdN2
_cell_length_a 5.122
_cell_length_b 5.122
_cell_length_c 5.122
_cell_angle_alpha 38.15
_cell_angle_beta 38.15
_cell_angle_gamma 38.15
_space_group_name_H-M_alt 'P 1'
_space_group_IT_number 1
loop_
_space_group_symop_operation_xyz
'x,y,z'
loop_
_atom_site_label
_atom_site_fract_x
_atom_site_fract_y
_atom_site_fract_z
Pd1 0.000 0.000 0.000
N1 0.138 0.138 0.138
N2 0.862 0.862 0.862
Li1 0.500 0.500 0.500

---

Stability check: which of them is least stable? *y*.

---

*w*
# PBE-GGA Li3PdN, relaxed
# - Fermi-level density of states: 0.219 states/eV/atom
# - Total magnetic moment: 0.00 Bohr magnetons per cell
data_Li3PdN
_cell_length_a 3.881
_cell_length_b 3.881
_cell_length_c 3.881
_cell_angle_alpha 90.00
_cell_angle_beta 90.00
_cell_angle_gamma 90.00
_space_group_name_H-M_alt 'P 1'
_space_group_IT_number 1
loop_
_space_group_symop_operation_xyz
'x,y,z'
loop_
_atom_site_label
_atom_site_fract_x
_atom_site_fract_y
_atom_site_fract_z
Pd1 0.500 0.500 0.500
N1 0.000 0.000 0.000
Li1 0.500 0.000 0.000
Li2 0.000 0.500 0.000
Li3 0.000 0.000 0.500

---

*x*
# PBE-GGA Li3PdN, relaxed
# - Fermi-level density of states: 0.440 states/eV/atom
# - Total magnetic moment: 2.00 Bohr magnetons per cell
data_Li3PdN
_cell_length_a 4.692
_cell_length_b 4.692
_cell_length_c 4.692
_cell_angle_alpha 90.00
_cell_angle_beta 90.00
_cell_angle_gamma 90.00
_space_group_name_H-M_alt 'P 1'
_space_group_IT_number 1
loop_
_space_group_symop_operation_xyz
'x,y,z'
loop_
_atom_site_label
_atom_site_fract_x
_atom_site_fract_y
_atom_site_fract_z
Li1 0.000 0.500 0.000
N1 0.500 0.500 0.500
Li2 0.500 0.000 0.000
Li3 0.000 0.000 0.500
Pd1 0.000 0.000 0.000

---

Stability check: which of them is least stable? *x*.

---

*w*
# PBE-GGA LiPdRh2N, relaxed
# - Fermi-level density of states: 0.686 states/eV/atom
# - Total magnetic moment: 0.00 Bohr magnetons per cell
data_LiPdRh2N
_cell_length_a 3.985
_cell_length_b 3.985
_cell_length_c 4.260
_cell_angle_alpha 90.00
_cell_angle_beta 90.00
_cell_angle_gamma 90.00
_space_group_name_H-M_alt 'P 1'
_space_group_IT_number 1
loop_
_space_group_symop_operation_xyz
'x,y,z'
loop_
_atom_site_label
_atom_site_fract_x
_atom_site_fract_y
_atom_site_fract_z
N1 0.000 0.000 0.000
Rh1 0.500 0.000 0.000
Li1 0.500 0.500 0.500
Pd1 0.000 0.000 0.500
Rh2 0.000 0.500 0.000

---

*x*
# PBE-GGA LiPdRh2N, relaxed
# - Fermi-level density of states: 1.318 states/eV/atom
# - Total magnetic moment: 0.61 Bohr magnetons per cell
data_LiPdRh2N
_cell_length_a 3.964
_cell_length_b 3.964
_cell_length_c 4.119
_cell_angle_alpha 90.00
_cell_angle_beta 90.00
_cell_angle_gamma 90.00
_space_group_name_H-M_alt 'P 1'
_space_group_IT_number 1
loop_
_space_group_symop_operation_xyz
'x,y,z'
loop_
_atom_site_label
_atom_site_fract_x
_atom_site_fract_y
_atom_site_fract_z
Rh1 0.500 0.000 0.000
Rh2 0.000 0.500 0.000
N1 0.000 0.000 0.000
Pd1 0.500 0.500 0.500
Li1 0.000 0.000 0.500

---

Stability check: which of them is least stable? *w*.

---

*w*
# PBE-GGA LiPdS2N, relaxed
# - Fermi-level density of states: 0.776 states/eV/atom
# - Total magnetic moment: 0.99 Bohr magnetons per cell
data_LiPdS2N
_cell_length_a 4.977
_cell_length_b 4.977
_cell_length_c 3.704
_cell_angle_alpha 90.00
_cell_angle_beta 90.00
_cell_angle_gamma 90.00
_space_group_name_H-M_alt 'P 1'
_space_group_IT_number 1
loop_
_space_group_symop_operation_xyz
'x,y,z'
loop_
_atom_site_label
_atom_site_fract_x
_atom_site_fract_y
_atom_site_fract_z
N1 0.000 0.000 0.500
Li1 0.500 0.500 0.500
S1 0.000 0.500 0.000
S2 0.500 0.000 0.000
Pd1 0.000 0.000 0.000

---

*x*
# PBE-GGA LiPdS2N, relaxed
# - Fermi-level density of states: 0.901 states/eV/atom
# - Total magnetic moment: 0.00 Bohr magnetons per cell
data_LiPdS2N
_cell_length_a 4.470
_cell_length_b 4.470
_cell_length_c 3.449
_cell_angle_alpha 90.00
_cell_angle_beta 90.00
_cell_angle_gamma 90.00
_space_group_name_H-M_alt 'P 1'
_space_group_IT_number 1
loop_
_space_group_symop_operation_xyz
'x,y,z'
loop_
_atom_site_label
_atom_site_fract_x
_atom_site_fract_y
_atom_site_fract_z
S1 0.500 0.000 0.000
S2 0.000 0.500 0.000
Li1 0.000 0.000 0.000
N1 0.000 0.000 0.500
Pd1 0.500 0.500 0.500

---

Stability check: which of them is least stable? *x*.

---

*w*
# PBE-GGA LiPdSe2N, relaxed
# - Fermi-level density of states: 0.857 states/eV/atom
# - Total magnetic moment: 0.81 Bohr magnetons per cell
data_LiPdSe2N
_cell_length_a 4.755
_cell_length_b 4.755
_cell_length_c 3.436
_cell_angle_alpha 90.00
_cell_angle_beta 90.00
_cell_angle_gamma 90.00
_space_group_name_H-M_alt 'P 1'
_space_group_IT_number 1
loop_
_space_group_symop_operation_xyz
'x,y,z'
loop_
_atom_site_label
_atom_site_fract_x
_atom_site_fract_y
_atom_site_fract_z
Pd1 0.500 0.500 0.500
N1 0.000 0.000 0.500
Li1 0.000 0.000 0.000
Se1 0.000 0.500 0.000
Se2 0.500 0.000 0.000

---

*x*
# PBE-GGA LiPdSe2N, relaxed
# - Fermi-level density of states: 0.817 states/eV/atom
# - Total magnetic moment: 0.64 Bohr magnetons per cell
data_LiPdSe2N
_cell_length_a 5.263
_cell_length_b 5.263
_cell_length_c 3.682
_cell_angle_alpha 90.00
_cell_angle_beta 90.00
_cell_angle_gamma 90.00
_space_group_name_H-M_alt 'P 1'
_space_group_IT_number 1
loop_
_space_group_symop_operation_xyz
'x,y,z'
loop_
_atom_site_label
_atom_site_fract_x
_atom_site_fract_y
_atom_site_fract_z
Pd1 0.000 0.000 0.000
Li1 0.500 0.500 0.500
Se1 0.500 0.000 0.000
N1 0.000 0.000 0.500
Se2 0.000 0.500 0.000

---

Stability check: which of them is least stable? *w*.

---

*w*
# PBE-GGA Sr2LiPdN, relaxed
# - Fermi-level density of states: 0.840 states/eV/atom
# - Total magnetic moment: 0.00 Bohr magnetons per cell
data_Sr2LiPdN
_cell_length_a 5.376
_cell_length_b 5.376
_cell_length_c 4.065
_cell_angle_alpha 90.00
_cell_angle_beta 90.00
_cell_angle_gamma 90.00
_space_group_name_H-M_alt 'P 1'
_space_group_IT_number 1
loop_
_space_group_symop_operation_xyz
'x,y,z'
loop_
_atom_site_label
_atom_site_fract_x
_atom_site_fract_y
_atom_site_fract_z
Pd1 0.000 0.000 0.500
Li1 0.500 0.500 0.500
Sr1 0.000 0.500 0.000
N1 0.000 0.000 0.000
Sr2 0.500 0.000 0.000

---

*x*
# PBE-GGA Sr2LiPdN, relaxed
# - Fermi-level density of states: 0.126 states/eV/atom
# - Total magnetic moment: 0.00 Bohr magnetons per cell
data_Sr2LiPdN
_cell_length_a 5.246
_cell_length_b 5.246
_cell_length_c 4.000
_cell_angle_alpha 90.00
_cell_angle_beta 90.00
_cell_angle_gamma 90.00
_space_group_name_H-M_alt 'P 1'
_space_group_IT_number 1
loop_
_space_group_symop_operation_xyz
'x,y,z'
loop_
_atom_site_label
_atom_site_fract_x
_atom_site_fract_y
_atom_site_fract_z
Sr1 0.500 0.000 0.000
N1 0.000 0.000 0.000
Pd1 0.500 0.500 0.500
Li1 0.000 0.000 0.500
Sr2 0.000 0.500 0.000

---

Stability check: which of them is least stable? *w*.